No. 1
# GGA-PBE Ag12S6Cl, relaxed
data_Ag12S6Cl
_chemical_formula_sum 'Ag12 S6 Cl1'
_space_group_name_H-M_alt 'P 1'
_space_group_IT_number 1
_cell_length_a 7.493
_cell_length_b 7.493
_cell_length_c 7.493
_cell_angle_alpha 99.22
_cell_angle_beta 99.22
_cell_angle_gamma 99.22
loop_
_space_group_symop_operation_xyz
'x,y,z'
loop_
_atom_site_label
_atom_site_type_symbol
_atom_site_fract_x
_atom_site_fract_y
_atom_site_fract_z
_atom_site_occupancy
Ag1 Ag 0.170 0.500 0.830 1
Ag2 Ag 0.500 0.170 0.830 1
S1 S 0.378 0.808 0.808 1
S2 S 0.622 0.192 0.192 1
Ag3 Ag 0.830 0.500 0.170 1
S3 S 0.192 0.622 0.192 1
Ag4 Ag 0.846 0.590 0.590 1
Ag5 Ag 0.590 0.590 0.846 1
Ag6 Ag 0.830 0.170 0.500 1
Ag7 Ag 0.590 0.846 0.590 1
Ag8 Ag 0.500 0.830 0.170 1
S4 S 0.808 0.378 0.808 1
Ag9 Ag 0.154 0.410 0.410 1
Ag10 Ag 0.410 0.410 0.154 1
S5 S 0.808 0.808 0.378 1
Ag11 Ag 0.410 0.154 0.410 1
S6 S 0.192 0.192 0.622 1
Cl1 Cl 0.000 0.000 0.000 1
Ag12 Ag 0.170 0.830 0.500 1
# spin magnetization = 0.2 Bohr magnetons per cell
# DFT total energy = -3.198 eV/atom
# DOS(E_F) = 14.2 states/eV/f.u.
# raw formation energy = 0.004 eV/atom

No. 2
# GGA-PBE Ag6S2Cl3, relaxed
data_Ag6S2Cl3
_chemical_formula_sum 'Ag6 S2 Cl3'
_space_group_name_H-M_alt 'P 1'
_space_group_IT_number 1
_cell_length_a 4.604
_cell_length_b 4.680
_cell_length_c 12.629
_cell_angle_alpha 80.33
_cell_angle_beta 79.59
_cell_angle_gamma 90.04
loop_
_space_group_symop_operation_xyz
'x,y,z'
loop_
_atom_site_label
_atom_site_type_symbol
_atom_site_fract_x
_atom_site_fract_y
_atom_site_fract_z
_atom_site_occupancy
Ag1 Ag 0.305 0.235 0.391 1
Ag2 Ag 0.564 0.050 0.872 1
S1 S 0.403 0.416 0.195 1
Ag3 Ag 0.120 0.476 0.757 1
Ag4 Ag 0.695 0.765 0.609 1
Ag5 Ag 0.880 0.524 0.243 1
Cl1 Cl 0.203 0.158 0.594 1
Ag6 Ag 0.436 0.950 0.128 1
S2 S 0.597 0.584 0.805 1
Cl2 Cl 0.797 0.842 0.406 1
Cl3 Cl 0.000 0.000 0.000 1
# spin magnetization = 0.0 Bohr magnetons per cell
# DFT total energy = -3.011 eV/atom
# DOS(E_F) = 8.4 states/eV/f.u.
# raw formation energy = -0.202 eV/atom

No. 3
# GGA-PBE Ag6S2Cl, relaxed
data_Ag6S2Cl
_chemical_formula_sum 'Ag6 S2 Cl1'
_space_group_name_H-M_alt 'P 1'
_space_group_IT_number 1
_cell_length_a 4.659
_cell_length_b 6.658
_cell_length_c 7.085
_cell_angle_alpha 70.05
_cell_angle_beta 70.80
_cell_angle_gamma 69.52
loop_
_space_group_symop_operation_xyz
'x,y,z'
loop_
_atom_site_label
_atom_site_type_symbol
_atom_site_fract_x
_atom_site_fract_y
_atom_site_fract_z
_atom_site_occupancy
Ag1 Ag 0.041 0.132 0.786 1
S1 S 0.788 0.313 0.111 1
Cl1 Cl 0.000 0.500 0.500 1
Ag2 Ag 0.675 0.150 0.501 1
Ag3 Ag 0.325 0.850 0.499 1
S2 S 0.212 0.687 0.889 1
Ag4 Ag 0.352 0.186 0.111 1
Ag5 Ag 0.648 0.814 0.889 1
Ag6 Ag 0.959 0.868 0.214 1
# spin magnetization = 0.0 Bohr magnetons per cell
# energy relative to the lowest polymorph listed for this composition = 0.000 eV/atom
# DFT total energy = -3.006 eV/atom
# DOS(E_F) = 2.7 states/eV/f.u.
# raw formation energy = 0.018 eV/atom